# PmDyMo2O8

An optimized crystal structure of PmDyMo2O8 (GGA+U, the Alexandria database).

The crystal system is tetragonal. The raw total energy comes out at -7.711 eV/atom.

Cell lengths 5.300, 5.300, 6.747 Å; angles 113.13, 113.13, 90.00 degrees
Fractional positions:
O 0.991 0.430 0.324
O 0.334 0.895 0.324
O 0.105 0.009 0.676
O 0.404 0.327 0.180
O 0.673 0.223 0.820
O 0.777 0.853 0.180
O 0.570 0.666 0.676
O 0.147 0.596 0.820
Mo 0.250 0.750 0.500
Mo 0.500 0.500 0.000
Dy 0.000 0.000 0.000
Pm 0.750 0.250 0.500